No. 1
## Ba3Ni4 (PBE)

Data for crystalline Ba3Ni4 at its relaxed geometry.

a = 7.570 Å, b = 7.570 Å, c = 4.310 Å
α = 90.00°, β = 90.00°, γ = 120.00°
Element x y z (fractional)
Ba  0.000  0.500  0.000
Ba  0.500  0.000  0.000
Ba  0.500  0.500  0.000
Ni  0.000  0.000  0.250
Ni  0.000  0.000  0.750
Ni  0.333  0.667  0.500
Ni  0.667  0.333  0.500

Magnetization ... 0.89 μB/f.u.
E ... -24.5 eV per formula unit
Calculated formation energy ... 621 meV per atom

***

No. 2
## Ba2MgUS6 (PBE)

Data for crystalline Ba2MgUS6 at its relaxed geometry.

a = 7.108 Å, b = 7.212 Å, c = 12.341 Å
α = 90.00°, β = 125.01°, γ = 90.00°
Element x y z (fractional)
Ba  0.237  0.047  0.248
Ba  0.237  0.453  0.748
Ba  0.763  0.547  0.252
Ba  0.763  0.953  0.752
Mg  0.000  0.000  0.500
Mg  0.000  0.500  0.000
U  0.500  0.000  0.000
U  0.500  0.500  0.500
S  0.182  0.210  0.967
S  0.182  0.290  0.467
S  0.259  0.715  0.968
S  0.259  0.785  0.468
S  0.314  0.006  0.752
S  0.314  0.494  0.252
S  0.686  0.506  0.748
S  0.686  0.994  0.248
S  0.741  0.215  0.532
S  0.741  0.285  0.032
S  0.818  0.710  0.533
S  0.818  0.790  0.033

Magnetization ... 0.00 μB/f.u.
E_form (uncorrected) ... -16.46 eV per formula unit
E ... -58.0 eV per formula unit

***

No. 3
## Ir5Pt3 (PBE)

Data for crystalline Ir5Pt3 at its relaxed geometry.

a = 7.769 Å, b = 7.769 Å, c = 4.866 Å
α = 90.00°, β = 90.00°, γ = 120.00°
Element x y z (fractional)
Ir  0.000  0.199  0.250
Ir  0.000  0.801  0.750
Ir  0.199  0.000  0.250
Ir  0.199  0.199  0.750
Ir  0.333  0.667  0.000
Ir  0.333  0.667  0.500
Ir  0.667  0.333  0.000
Ir  0.667  0.333  0.500
Ir  0.801  0.000  0.750
Ir  0.801  0.801  0.250
Pt  0.000  0.394  0.750
Pt  0.000  0.606  0.250
Pt  0.394  0.000  0.750
Pt  0.394  0.394  0.250
Pt  0.606  0.000  0.250
Pt  0.606  0.606  0.750

Magnetization ... 0.00 μB/f.u.
E ... -58.6 eV per formula unit
Calculated formation energy ... 484 meV per atom

***

No. 4
## CdHg2Au (PBE)

Data for crystalline CdHg2Au at its relaxed geometry.

a = 5.758 Å, b = 5.758 Å, c = 5.758 Å
α = 144.30°, β = 124.94°, γ = 67.37°
Element x y z (fractional)
Cd  0.000  0.000  0.000
Hg  0.256  0.756  0.500
Hg  0.525  0.525  0.000
Au  0.769  0.269  0.500

Magnetization ... 0.00 μB/f.u.
E ... -4.5 eV per formula unit
Calculated formation energy ... 66 meV per atom

***

Number 1: volume 214 Å³ per cell. Number 2: volume 518 Å³ per cell. Number 3: volume 254 Å³ per cell. Number 4: volume 90 Å³ per cell.